(1)
The following is a DFT calculation (PBE-GGA) of a geometry-optimized TbPaAlIn structure.

As for the density of states at the Fermi level: 1.943 states/eV per atom.

Lattice parameters (Å, degrees): 5.230 5.230 5.230 60.00 60.00 60.00
Last column: magnetic moment on the atom in μB.
Sites, in units of the cell vectors:
In 0.750 0.750 0.750  0.03
Al 0.250 0.250 0.250  0.01
Pa 0.500 0.500 0.500  0.98
Tb 0.000 0.000 0.000  0.15

=====

(2)
The following is a DFT calculation (PBE-GGA) of a geometry-optimized TmPaAlIn structure.

As for the density of states at the Fermi level: 1.785 states/eV per atom.

Lattice parameters (Å, degrees): 5.184 5.184 5.184 60.00 60.00 60.00
Last column: magnetic moment on the atom in μB.
Sites, in units of the cell vectors:
Al 0.750 0.750 0.750  0.00
Tm 0.000 0.000 0.000  0.07
In 0.250 0.250 0.250  0.01
Pa 0.500 0.500 0.500  0.56

=====

(3)
The following is a DFT calculation (PBE-GGA) of a geometry-optimized YPaAlIn structure.

As for the density of states at the Fermi level: 1.987 states/eV per atom.

Lattice parameters (Å, degrees): 5.226 5.226 5.226 60.00 60.00 60.00
Last column: magnetic moment on the atom in μB.
Sites, in units of the cell vectors:
Y 0.000 0.000 0.000  0.12
In 0.750 0.750 0.750  0.02
Pa 0.500 0.500 0.500  0.98
Al 0.250 0.250 0.250  0.01

=====

(4)
The following is a DFT calculation (PBE-GGA) of a geometry-optimized AlIn2Pb structure.

As for the excess energy over the best structure of this formula in the dataset: 0.0985 eV/atom. As for the density of states at the Fermi level: 0.493 states/eV per atom.

Lattice parameters (Å, degrees): 4.403 4.403 11.562 79.02 79.02 90.00
Sites, in units of the cell vectors:
Al 0.500 0.500 0.000
In 0.614 0.125 0.250
In 0.875 0.864 0.750
Pb 0.750 0.250 0.500
Al 0.250 0.750 0.500
In 0.136 0.625 0.250
Pb 0.000 0.000 0.000
In 0.375 0.386 0.750

=====

(5)
The following is a DFT calculation (PBE-GGA) of a geometry-optimized AlIn2Pb structure.

As for the excess energy over the best structure of this formula in the dataset: 0.0645 eV/atom. As for the density of states at the Fermi level: 0.549 states/eV per atom.

Lattice parameters (Å, degrees): 5.290 5.290 5.290 60.00 60.00 60.00
Sites, in units of the cell vectors:
Pb 0.250 0.250 0.250
Al 0.500 0.500 0.500
In 0.000 0.000 0.000
In 0.750 0.750 0.750

=====

(6)
The following is a DFT calculation (PBE-GGA) of a geometry-optimized Al2InPb2 structure.

As for the excess energy over the best structure of this formula in the dataset: 0.0000 eV/atom. As for the density of states at the Fermi level: 0.483 states/eV per atom.

Lattice parameters (Å, degrees): 7.628 7.628 4.430 90.00 90.00 90.00
Sites, in units of the cell vectors:
In 0.500 0.500 0.000
In 0.000 0.000 0.000
Pb 0.319 0.181 0.500
Pb 0.681 0.819 0.500
Al 0.624 0.124 0.000
Al 0.876 0.624 0.000
Al 0.124 0.376 0.000
Pb 0.819 0.319 0.500
Pb 0.181 0.681 0.500
Al 0.376 0.876 0.000

=====

(7)
The following is a DFT calculation (PBE-GGA) of a geometry-optimized AlInPb4 structure.

As for the density of states at the Fermi level: 0.936 states/eV per atom.

Lattice parameters (Å, degrees): 6.503 6.503 6.503 60.00 60.00 60.00
Sites, in units of the cell vectors:
Pb 0.375 0.874 0.375
Pb 0.375 0.375 0.375
Pb 0.375 0.375 0.874
Al 0.750 0.750 0.750
In 0.000 0.000 0.000
Pb 0.874 0.375 0.375

=====

(8)
The following is a DFT calculation (PBE-GGA) of a geometry-optimized Al2InPb structure.

As for the excess energy over the best structure of this formula in the dataset: 0.0495 eV/atom. As for the density of states at the Fermi level: 0.492 states/eV per atom.

Lattice parameters (Å, degrees): 5.973 5.973 5.390 71.27 71.27 31.43
Sites, in units of the cell vectors:
Al 0.027 0.027 0.028
Pb 0.273 0.273 0.197
Al 0.722 0.722 0.723
In 0.478 0.478 0.552

=====

no.,volume (Å³/atom),ΔH_f (0 K) (eV/atom),spin magnetization (μB/cell)
1,25.29,-0.067,1.5
2,24.63,-0.073,0.8
3,25.23,-0.079,1.5
4,26.99,0.190,0.0
5,26.16,0.156,0.0
6,25.78,0.166,0.0
7,32.41,0.320,0.0
8,23.63,0.194,0.0